# GGA-PBE K2ZrTl2, relaxed
# E_tot ... -2.7592 eV per atom
# Calculated volume ... 367 Å³/cell
data_K2ZrTl2
_cell_length_a 7.8029
_cell_length_b 7.8029
_cell_length_c 6.0278
_cell_angle_alpha 90.00
_cell_angle_beta 90.00
_cell_angle_gamma 90.00
_symmetry_space_group_name_H-M 'P 4/m b m'
_symmetry_Int_Tables_number 127
_symmetry_space_group_name_Hall '-P 4 2ab'
loop_
_atom_site_label
_atom_site_type_symbol
_atom_site_fract_x
_atom_site_fract_y
_atom_site_fract_z
_atom_site_occupancy
K1 K 0.1681 0.3319 0.0000 1
Zr1 Zr 0.0000 0.0000 0.5000 1
Tl1 Tl 0.1537 0.6537 0.5000 1

# GGA-PBE NaSr3H, relaxed
# E_tot ... -2.0336 eV per atom
# Calculated volume ... 185 Å³/cell
data_NaSr3H
_cell_length_a 5.6971
_cell_length_b 5.6971
_cell_length_c 5.6971
_cell_angle_alpha 90.00
_cell_angle_beta 90.00
_cell_angle_gamma 90.00
_symmetry_space_group_name_H-M 'P m -3 m'
_symmetry_Int_Tables_number 221
_symmetry_space_group_name_Hall '-P 4 2 3'
loop_
_atom_site_label
_atom_site_type_symbol
_atom_site_fract_x
_atom_site_fract_y
_atom_site_fract_z
_atom_site_occupancy
Na1 Na 0.0000 0.0000 0.0000 1
Sr1 Sr 0.0000 0.5000 0.5000 1
H1 H 0.5000 0.5000 0.5000 1